Entry 1:
BeCuCl GGA-PBEsol optimized geometry; calculated volume = 47.7 Å³/f.u.; E_form (uncorrected) = 927 meV per atom; crystal system = cubic
1.0
0.0000 2.8790 2.8790
2.8790 0.0000 2.8790
2.8790 2.8790 0.0000
Be Cu Cl
1 1 1
direct
0.0000 0.0000 0.0000
0.5000 0.5000 0.5000
0.7500 0.7500 0.7500


Entry 2:
Be2CuCl GGA-PBEsol optimized geometry; calculated volume = 61.8 Å³/f.u.; E_form (uncorrected) = 61 meV per atom; crystal system = monoclinic
1.0
3.0488 0.0000 0.0000
0.0000 2.8768 0.0000
-0.0977 0.0000 7.0428
Be Cu Cl
2 1 1
direct
0.0000 0.0000 0.0000
0.4956 0.5000 0.7937
0.5041 0.5000 0.1051
0.4892 0.0000 0.5998


Entry 3:
BeCu2Cl GGA-PBEsol optimized geometry; calculated volume = 53.9 Å³/f.u.; E_form (uncorrected) = 760 meV per atom; crystal system = cubic
1.0
0.0000 2.9990 2.9990
2.9990 0.0000 2.9990
2.9990 2.9990 0.0000
Be Cu Cl
1 2 1
direct
0.0000 0.0000 0.0000
0.2500 0.2500 0.2500
0.7500 0.7500 0.7500
0.5000 0.5000 0.5000


Entry 4:
BeCu2Cl GGA-PBEsol optimized geometry; calculated volume = 51.0 Å³/f.u.; E_form (uncorrected) = 206 meV per atom; crystal system = trigonal
1.0
1.4441 0.8337 7.0596
-1.4441 0.8337 7.0596
0.0000 -1.6675 7.0596
Be Cu Cl
1 2 1
direct
0.0000 0.0000 0.0000
0.2558 0.2558 0.2558
0.7442 0.7442 0.7442
0.5000 0.5000 0.5000


Entry 5:
Be2CuCl GGA-PBEsol optimized geometry; calculated volume = 50.5 Å³/f.u.; E_form (uncorrected) = 953 meV per atom; crystal system = cubic
1.0
0.0000 2.9330 2.9330
2.9330 0.0000 2.9330
2.9330 2.9330 0.0000
Be Cu Cl
2 1 1
direct
0.2500 0.2500 0.2500
0.7500 0.7500 0.7500
0.0000 0.0000 0.0000
0.5000 0.5000 0.5000


Entry 6:
Be4CuCl GGA-PBEsol optimized geometry; calculated volume = 64.4 Å³/f.u.; E_form (uncorrected) = 526 meV per atom; crystal system = cubic
1.0
0.0000 3.1812 3.1812
3.1812 0.0000 3.1812
3.1812 3.1812 0.0000
Be Cu Cl
4 1 1
direct
0.3772 0.3772 0.3772
0.3772 0.3772 0.8684
0.3772 0.8684 0.3772
0.8684 0.3772 0.3772
0.7500 0.7500 0.7500
0.0000 0.0000 0.0000